No. 1
Here is a relaxed structure of Pr9Nd2Y from Alexandria via LeMat-Bulk. Energies are from PBE.

Output
total magnetic moment: 0.0 μB/cell
DOS at the Fermi energy: 20.579 states/eV/cell
total energy: -4.9063 eV/atom
formation enthalpy at 0 K: 0.012 eV/atom

Cell: 5.2312 5.2312 15.6805 Å, 90.00 90.00 90.00°
Closest atoms and distances in Å follow each position.
Space group P4/mmm (No. 123)
Unique sites:
1 Pr 0.0000 0.0000 0.0000 x1  8 Pr 3.68, 4 Y 3.70
2 Pr 0.0000 0.0000 0.3326 x2  4 Nd 3.70, 8 Pr 3.70-3.71
3 Pr 0.0000 0.5000 0.1655 x4  8 Pr 3.68-3.70, 2 Y 3.68, 2 Nd 3.70
4 Pr 0.0000 0.5000 0.5000 x2  8 Pr 3.70-3.71, 4 Nd 3.71
5 Nd 0.5000 0.5000 0.3322 x2  12 Pr 3.70-3.71
6 Y 0.5000 0.5000 0.0000 x1  12 Pr 3.68-3.70

---

No. 2
Here is a relaxed structure of PrNd6Y4 from Alexandria via LeMat-Bulk. Energies are from PBE.

Output
total magnetic moment: 0.0 μB/cell
DOS at the Fermi energy: 35.778 states/eV/cell
total energy: -5.1028 eV/atom
formation enthalpy at 0 K: 0.283 eV/atom

Cell: 6.6110 6.6110 17.7148 Å, 90.00 90.00 90.00°
Closest atoms and distances in Å follow each position.
Space group I-42m (No. 121)
Unique sites:
1 Pr 0.0000 0.0000 0.0000 x2  4 Nd 3.31, 4 Y 3.61
2 Nd 0.0000 0.5000 0.0000 x4  2 Pr 3.31, 4 Nd 3.38
3 Nd 0.1780 0.1780 0.6328 x8  3 Nd 3.33-3.38, 5 Y 3.35-3.57
4 Y 0.1860 0.1860 0.8217 x8  5 Nd 3.35-3.57, 1 Y 3.48, 1 Pr 3.61